# SrZn6 PBE relaxed
data_SrZn6
_chemical_formula_sum 'Sr1 Zn6'
_cell_length_a 5.918
_cell_length_b 5.918
_cell_length_c 5.918
_cell_angle_alpha 90.00
_cell_angle_beta 90.00
_cell_angle_gamma 90.00
_symmetry_space_group_name_H-M 'P 1'
_symmetry_Int_Tables_number 1
loop_
_symmetry_equiv_pos_as_xyz
'x,y,z'
loop_
_atom_site_label
_atom_site_type_symbol
_atom_site_fract_x
_atom_site_fract_y
_atom_site_fract_z
Sr1 Sr 0.000 0.000 0.000
Zn1 Zn 0.194 0.500 0.500
Zn2 Zn 0.500 0.194 0.500
Zn3 Zn 0.500 0.500 0.194
Zn4 Zn 0.500 0.500 0.806
Zn5 Zn 0.500 0.806 0.500
Zn6 Zn 0.806 0.500 0.500
# **Calculated total energy**: -0.0782 Ry per atom
# **Formation energy from the elements**: 0.2679 eV/atom
# **Polymorph energy (0 for the lowest one)**: 429.2 meV/atom